No. 1
Below is a relaxed Mg8Zn2Sn crystal, with properties calculated at the PBE-GGA level.

Lattice parameters (Å, degrees): 5.1090 7.4860 7.4860 113.98 101.35 101.35
Closest atoms and distances in Å follow each position.
Atoms (fractional coordinates):
Mg (0.9003, 0.9180, 0.6730)  2 Zn 2.78-2.81, 2 Mg 3.08-3.10
Mg (0.9003, 0.6730, 0.9180)  2 Zn 2.78-2.81, 2 Mg 3.08-3.10
Mg (0.3075, 0.6033, 0.6033)  2 Zn 2.83, 2 Mg 2.98-3.02, 1 Sn 3.02
Mg (0.5000, 0.7644, 0.2356)  2 Zn 2.71, 1 Sn 2.96
Mg (0.5000, 0.2356, 0.7644)  2 Zn 2.71, 1 Sn 2.96
Mg (0.6925, 0.3967, 0.3967)  2 Zn 2.83, 2 Mg 2.98-3.02, 1 Sn 3.02
Mg (0.0997, 0.3270, 0.0820)  2 Zn 2.78-2.81, 2 Mg 3.08-3.10
Mg (0.0997, 0.0820, 0.3270)  2 Zn 2.78-2.81, 2 Mg 3.08-3.10
Zn (0.0000, 0.3088, 0.6912)  8 Mg 2.71-2.83
Zn (0.0000, 0.6912, 0.3088)  8 Mg 2.71-2.83
Sn (0.5000, 0.0000, 0.0000)  8 Mg 2.96-3.29

Calculated values
Fermi-level density of states (states/eV per atom): 0.34
Final energy (eV/atom): -1.79
SG: C2/m

---

No. 2
Below is a relaxed NiRuPt3 crystal, with properties calculated at the PBE-GGA level.

Lattice parameters (Å, degrees): 4.5426 5.3475 12.2086 90.00 90.00 90.00
Closest atoms and distances in Å follow each position.
Atoms (fractional coordinates):
Ni (0.2500, 0.2500, 0.0660)  2 Ru 2.61, 10 Pt 2.67-2.80
Ni (0.7500, 0.7500, 0.9340)  2 Ru 2.61, 10 Pt 2.67-2.80
Ni (0.2500, 0.7500, 0.4340)  2 Ru 2.61, 10 Pt 2.67-2.80
Ni (0.7500, 0.2500, 0.5660)  2 Ru 2.61, 10 Pt 2.67-2.80
Ru (0.2500, 0.5000, 0.2500)  2 Ni 2.61, 6 Pt 2.67-2.68, 2 Ru 2.67
Ru (0.7500, 0.5000, 0.7500)  2 Ni 2.61, 6 Pt 2.67-2.68, 2 Ru 2.67
Ru (0.2500, 0.0000, 0.2500)  2 Ni 2.61, 6 Pt 2.67-2.68, 2 Ru 2.67
Ru (0.7500, 0.0000, 0.7500)  2 Ni 2.61, 6 Pt 2.67-2.68, 2 Ru 2.67
Pt (0.2500, 0.2500, 0.4400)  4 Ni 2.67-2.74, 2 Ru 2.68, 6 Pt 2.74-2.80
Pt (0.7500, 0.7500, 0.5600)  4 Ni 2.67-2.74, 2 Ru 2.68, 6 Pt 2.74-2.80
Pt (0.2500, 0.7500, 0.0600)  4 Ni 2.67-2.74, 2 Ru 2.68, 6 Pt 2.74-2.80
Pt (0.7500, 0.2500, 0.9400)  4 Ni 2.67-2.74, 2 Ru 2.68, 6 Pt 2.74-2.80
Pt (0.7500, 0.4991, 0.1357)  6 Pt 2.66-2.80, 2 Ru 2.67, 3 Ni 2.77-2.80
Pt (0.2500, 0.5009, 0.8643)  6 Pt 2.66-2.80, 2 Ru 2.67, 3 Ni 2.77-2.80
Pt (0.7500, 0.5009, 0.3643)  6 Pt 2.66-2.80, 2 Ru 2.67, 3 Ni 2.77-2.80
Pt (0.7500, 0.9991, 0.3643)  6 Pt 2.66-2.80, 2 Ru 2.67, 3 Ni 2.77-2.80
Pt (0.2500, 0.4991, 0.6357)  6 Pt 2.66-2.80, 2 Ru 2.67, 3 Ni 2.77-2.80
Pt (0.2500, 0.0009, 0.6357)  6 Pt 2.66-2.80, 2 Ru 2.67, 3 Ni 2.77-2.80
Pt (0.7500, 0.0009, 0.1357)  6 Pt 2.66-2.80, 2 Ru 2.67, 3 Ni 2.77-2.80
Pt (0.2500, 0.9991, 0.8643)  6 Pt 2.66-2.80, 2 Ru 2.67, 3 Ni 2.77-2.80

Calculated values
Fermi-level density of states (states/eV per atom): 1.56
Final energy (eV/atom): -6.54
SG: Cmcm

---

No. 3
Below is a relaxed SmEr5Th2 crystal, with properties calculated at the PBE-GGA level.

Lattice parameters (Å, degrees): 3.5046 8.7966 8.7966 78.44 78.51 78.51
Closest atoms and distances in Å follow each position.
Atoms (fractional coordinates):
Sm (0.0000, 0.0000, 0.0000)  2 Sm 3.50, 4 Th 3.61, 8 Er 3.89
Er (0.0000, 0.5000, 0.5000)  2 Th 3.43, 10 Er 3.50-3.55
Er (0.6310, 0.5986, 0.1393)  3 Th 3.33-3.54, 7 Er 3.45-3.62
Er (0.3690, 0.4014, 0.8607)  3 Th 3.33-3.54, 7 Er 3.45-3.62
Er (0.3690, 0.8607, 0.4014)  3 Th 3.33-3.54, 7 Er 3.45-3.62
Er (0.6310, 0.1393, 0.5986)  3 Th 3.33-3.54, 7 Er 3.45-3.62
Th (0.7394, 0.7606, 0.7606)  7 Er 3.33-3.54, 2 Th 3.50, 2 Sm 3.61
Th (0.2606, 0.2394, 0.2394)  7 Er 3.33-3.54, 2 Th 3.50, 2 Sm 3.61

Calculated values
Fermi-level density of states (states/eV per atom): 1.59
Final energy (eV/atom): -5.20
SG: Immm

---

No. 4
Below is a relaxed Pa3Ga4Ir4 crystal, with properties calculated at the PBE-GGA level.

Lattice parameters (Å, degrees): 3.9417 7.3911 8.2470 116.62 103.83 90.00
Closest atoms and distances in Å follow each position.
Atoms (fractional coordinates):
Pa (0.1217, 0.1217, 0.2434)  6 Ir 2.92-3.04, 6 Ga 3.08-3.24
Pa (0.8783, 0.8783, 0.7566)  6 Ir 2.92-3.04, 6 Ga 3.08-3.24
Pa (0.0000, 0.5000, 0.0000)  6 Ir 2.92-3.22
Ga (0.3258, 0.1299, 0.6516)  4 Ir 2.56-2.65
Ga (0.6742, 0.4783, 0.3484)  4 Ir 2.56-2.65
Ga (0.6742, 0.8701, 0.3484)  4 Ir 2.56-2.65
Ga (0.3258, 0.5217, 0.6516)  4 Ir 2.56-2.65
Ir (0.2270, 0.7270, 0.4539)  6 Ga 2.56-2.65
Ir (0.7730, 0.2730, 0.5461)  6 Ga 2.56-2.65
Ir (0.5000, 0.7916, 0.0000)  2 Ga 2.57
Ir (0.5000, 0.2084, 0.0000)  2 Ga 2.57

Calculated values
Fermi-level density of states (states/eV per atom): 0.91
Final energy (eV/atom): -7.67
SG: Immm

---

No. 5
Below is a relaxed Ba3TbSm2Te6 crystal, with properties calculated at the PBE-GGA level.

Lattice parameters (Å, degrees): 7.9949 7.9949 8.2940 99.26 99.26 119.91
Closest atoms and distances in Å follow each position.
Atoms (fractional coordinates):
Ba (0.1682, 0.8318, 0.5000)  6 Te 3.45-3.47
Ba (0.8318, 0.1682, 0.5000)  6 Te 3.45-3.47
Ba (0.5000, 0.5000, 0.5000)  6 Te 3.45-3.48
Tb (0.0000, 0.0000, 0.0000)  6 Te 3.15
Sm (0.3340, 0.6660, 0.0000)  6 Te 3.19
Sm (0.6660, 0.3340, 0.0000)  6 Te 3.19
Te (0.9273, 0.5976, 0.7811)  1 Tb 3.15, 2 Sm 3.19, 3 Ba 3.45-3.47
Te (0.7442, 0.7442, 0.2206)  1 Tb 3.15, 2 Sm 3.19, 3 Ba 3.46-3.48
Te (0.0727, 0.4024, 0.2189)  1 Tb 3.15, 2 Sm 3.19, 3 Ba 3.45-3.47
Te (0.5976, 0.9273, 0.7811)  1 Tb 3.15, 2 Sm 3.19, 3 Ba 3.45-3.47
Te (0.2558, 0.2558, 0.7794)  1 Tb 3.15, 2 Sm 3.19, 3 Ba 3.46-3.48
Te (0.4024, 0.0727, 0.2189)  1 Tb 3.15, 2 Sm 3.19, 3 Ba 3.45-3.47

Calculated values
Fermi-level density of states (states/eV per atom): 0.46
Final energy (eV/atom): -4.78
SG: C2/m
E_form (uncorrected) (kJ/mol of atoms): -149.7

---

No. 6
Below is a relaxed Y2Al2GaRh5 crystal, with properties calculated at the PBE-GGA level.

Lattice parameters (Å, degrees): 3.3723 9.9588 9.9588 90.00 90.00 90.00
Closest atoms and distances in Å follow each position.
Atoms (fractional coordinates):
Y (0.0000, 0.6737, 0.1737)  3 Al 2.82-3.02, 6 Rh 2.97-3.11
Y (0.0000, 0.3263, 0.8263)  3 Al 2.82-3.02, 6 Rh 2.97-3.11
Y (0.0000, 0.1737, 0.3263)  3 Al 2.82-3.02, 6 Rh 2.97-3.11
Y (0.0000, 0.8263, 0.6737)  3 Al 2.82-3.02, 6 Rh 2.97-3.11
Al (0.0000, 0.1263, 0.6263)  6 Rh 2.45-2.48
Al (0.0000, 0.8737, 0.3737)  6 Rh 2.45-2.48
Al (0.0000, 0.6263, 0.8737)  6 Rh 2.45-2.48
Al (0.0000, 0.3737, 0.1263)  6 Rh 2.45-2.48
Ga (0.0000, 0.0000, 0.0000)  8 Rh 2.70
Ga (0.0000, 0.5000, 0.5000)  8 Rh 2.70
Rh (0.5000, 0.2019, 0.0650)  2 Al 2.48, 2 Ga 2.70
Rh (0.5000, 0.7981, 0.9350)  2 Al 2.48, 2 Ga 2.70
Rh (0.5000, 0.0650, 0.7981)  2 Al 2.48, 2 Ga 2.70
Rh (0.5000, 0.7019, 0.4350)  2 Al 2.48, 2 Ga 2.70
Rh (0.5000, 0.9350, 0.2019)  2 Al 2.48, 2 Ga 2.70
Rh (0.5000, 0.2981, 0.5650)  2 Al 2.48, 2 Ga 2.70
Rh (0.5000, 0.5650, 0.7019)  2 Al 2.48, 2 Ga 2.70
Rh (0.5000, 0.4350, 0.2981)  2 Al 2.48, 2 Ga 2.70
Rh (0.5000, 0.5000, 0.0000)  4 Al 2.45
Rh (0.5000, 0.0000, 0.5000)  4 Al 2.45

Calculated values
Fermi-level density of states (states/eV per atom): 0.49
Final energy (eV/atom): -6.87
SG: P4/mbm

---

No. 7
Below is a relaxed AcTbCu crystal, with properties calculated at the PBE-GGA level.

Lattice parameters (Å, degrees): 5.2577 9.5648 6.8640 90.00 90.00 90.00
Closest atoms and distances in Å follow each position.
Atoms (fractional coordinates):
Tb (0.2500, 0.8272, 0.4982)  3 Cu 2.88-3.04
Tb (0.7500, 0.3272, 0.0018)  3 Cu 2.88-3.04
Tb (0.2500, 0.6728, 0.9982)  3 Cu 2.88-3.04
Tb (0.7500, 0.1728, 0.5018)  3 Cu 2.88-3.04
Ac (0.7500, 0.9085, 0.1477)  4 Cu 3.02-3.36
Ac (0.7500, 0.5915, 0.6477)  4 Cu 3.02-3.36
Ac (0.2500, 0.0915, 0.8523)  4 Cu 3.02-3.36
Ac (0.2500, 0.4085, 0.3523)  4 Cu 3.02-3.36
Cu (0.7500, 0.5948, 0.1924)  3 Tb 2.88-3.04, 2 Ac 3.02-3.13
Cu (0.7500, 0.9052, 0.6924)  3 Tb 2.88-3.04, 2 Ac 3.02-3.13
Cu (0.2500, 0.0948, 0.3076)  3 Tb 2.88-3.04, 2 Ac 3.02-3.13
Cu (0.2500, 0.4052, 0.8076)  3 Tb 2.88-3.04, 2 Ac 3.02-3.13

Calculated values
Fermi-level density of states (states/eV per atom): 1.03
Final energy (eV/atom): -4.33
SG: Pnma

---

No. 8
Below is a relaxed Li7Hg2Pd3 crystal, with properties calculated at the PBE-GGA level.

Lattice parameters (Å, degrees): 2.9162 4.6753 14.9038 99.02 90.00 90.00
Closest atoms and distances in Å follow each position.
Atoms (fractional coordinates):
Li (0.0000, 0.4290, 0.8579)  4 Pd 2.55-2.60, 4 Li 2.84
Li (0.0000, 0.7234, 0.4468)  3 Hg 2.70-2.92, 2 Pd 2.75, 4 Li 2.81-2.92
Li (0.0000, 0.0000, 0.0000)  4 Pd 2.76, 2 Li 2.92
Li (0.0000, 0.5710, 0.1421)  4 Pd 2.55-2.60, 4 Li 2.84
Li (0.5000, 0.0946, 0.1893)  2 Pd 2.75, 2 Hg 2.84, 6 Li 2.84-2.92
Li (0.5000, 0.9054, 0.8107)  2 Pd 2.75, 2 Hg 2.84, 6 Li 2.84-2.92
Li (0.0000, 0.2766, 0.5532)  3 Hg 2.70-2.92, 2 Pd 2.75, 4 Li 2.81-2.92
Hg (0.0000, 0.8226, 0.6451)  5 Li 2.70-2.92, 2 Hg 2.92, 4 Pd 2.92
Hg (0.0000, 0.1774, 0.3549)  5 Li 2.70-2.92, 2 Hg 2.92, 4 Pd 2.92
Pd (0.5000, 0.5000, 0.0000)  8 Li 2.55-2.76
Pd (0.5000, 0.6441, 0.2882)  6 Li 2.60-2.75
Pd (0.5000, 0.3559, 0.7118)  6 Li 2.60-2.75

Calculated values
Fermi-level density of states (states/eV per atom): 0.31
Final energy (eV/atom): -2.76
SG: Cmmm